Compound: Tb2Be3AlIr4
Source: the Alexandria database
Functional: PBE
Structure: optimized geometry

abc: 4.0638 4.0638 9.5658
angles: 90.00 90.00 90.00
Element x y z (fractional)
Tb (0.0000, 0.5000, 0.2324)
Tb (0.5000, 0.0000, 0.7676)
Be (0.0000, 0.5000, 0.8881)
Be (0.5000, 0.0000, 0.1119)
Be (0.5000, 0.5000, 0.5000)
Al (0.0000, 0.0000, 0.5000)
Ir (0.0000, 0.0000, 0.0000)
Ir (0.0000, 0.5000, 0.6420)
Ir (0.5000, 0.0000, 0.3580)
Ir (0.5000, 0.5000, 0.0000)

Properties
Space group: P-4m2, No. 115
Total DFT energy (no corrections) in eV per atom: -6.6794
Energy of formation in meV/atom: -716.8
V in A^3/atom: 15.8
Magnetization in μB per atom: 0.00